[1]
Material: InSiNO2
Method: DFT, PBE
State: relaxed

Output
Energy relative to the elements, uncorrected   0.623 eV/atom
Energy   -4.66 eV per atom

Cell lengths 4.089, 4.089, 4.162 Å; angles 90.00, 90.00, 90.00 degrees
Each line ends with the local moment (μB).
Fractional coordinates of all 5 atoms:
In (0.000, 0.000, 0.000)  0.03
N (0.000, 0.000, 0.500)  0.87
O (0.000, 0.500, 0.000)  0.25
Si (0.500, 0.500, 0.500)  -0.02
O (0.500, 0.000, 0.000)  0.25

[2]
Material: InGa2Te3
Method: DFT, PBE
State: relaxed

Output
Energy relative to the elements, uncorrected   -0.221 eV/atom
Energy   -3.26 eV per atom

Cell lengths 4.881, 9.233, 10.045 Å; angles 96.25, 104.06, 90.00 degrees
Fractional coordinates of all 12 atoms:
In (0.318, 0.991, 0.635)
In (0.682, 0.009, 0.365)
Te (0.259, 0.315, 0.517)
Te (0.432, 0.689, 0.864)
Ga (0.948, 0.827, 0.897)
Te (0.568, 0.311, 0.136)
Ga (0.705, 0.385, 0.410)
Ga (0.295, 0.615, 0.590)
Te (0.741, 0.685, 0.483)
Te (0.910, 0.098, 0.820)
Ga (0.052, 0.173, 0.103)
Te (0.090, 0.902, 0.180)

[3]
Material: CsRbLi
Method: DFT, PBE
State: relaxed

Output
Energy relative to the lowest polymorph listed for this composition   0 meV/atom
Energy of formation   0.1491 eV per atom
Energy   -1.10 eV per atom

Cell lengths 4.972, 4.972, 9.375 Å; angles 105.38, 105.38, 90.00 degrees
Fractional coordinates of all 3 atoms:
Cs (0.026, 0.026, 0.052)
Li (0.675, 0.675, 0.350)
Rb (0.299, 0.299, 0.598)

[4]
Material: KSr2ReGe
Method: DFT, PBE
State: relaxed

Output
Energy of formation   1.1560 eV per atom
Energy   -3.15 eV per atom

Cell lengths 6.045, 6.141, 6.045 Å; angles 90.00, 90.00, 90.00 degrees
Each line ends with the local moment (μB).
Fractional coordinates of all 5 atoms:
Sr (0.500, 0.000, 0.000)  -0.02
K (0.000, 0.500, 0.000)  0.00
Sr (0.000, 0.000, 0.500)  -0.01
Re (0.500, 0.500, 0.500)  3.40
Ge (0.000, 0.000, 0.000)  0.07

[5]
Material: Ba2Ga3Ag17
Method: DFT, PBE
State: relaxed

Output
Energy of formation   0.0515 eV per atom
Energy   -2.74 eV per atom

Cell lengths 7.878, 7.878, 7.878 Å; angles 84.56, 84.56, 84.56 degrees
Fractional coordinates of all 22 atoms:
Ag (0.000, 0.739, 0.261)
Ag (0.326, 0.326, 0.834)
Ag (0.261, 0.000, 0.739)
Ag (0.326, 0.834, 0.326)
Ag (0.166, 0.674, 0.674)
Ga (0.500, 0.000, 0.500)
Ga (0.500, 0.500, 0.000)
Ag (0.000, 0.500, 0.000)
Ag (0.000, 0.261, 0.739)
Ag (0.674, 0.674, 0.166)
Ag (0.096, 0.096, 0.096)
Ag (0.739, 0.000, 0.261)
Ag (0.904, 0.904, 0.904)
Ag (0.674, 0.166, 0.674)
Ag (0.500, 0.000, 0.000)
Ag (0.739, 0.261, 0.000)
Ga (0.000, 0.500, 0.500)
Ag (0.000, 0.000, 0.500)
Ag (0.834, 0.326, 0.326)
Ba (0.661, 0.661, 0.661)
Ba (0.339, 0.339, 0.339)
Ag (0.261, 0.739, 0.000)

[6]
Material: AcPm2Nd3Te6
Method: DFT, PBE
State: relaxed

Output
Energy relative to the elements, uncorrected   -1.424 eV/atom
Energy   -5.32 eV per atom

Cell lengths 7.849, 7.849, 7.862 Å; angles 99.59, 99.59, 120.36 degrees
Fractional coordinates of all 12 atoms:
Te (0.914, 0.570, 0.744)
Pm (0.332, 0.668, 0.000)
Ac (0.000, 0.000, 0.000)
Nd (0.841, 0.159, 0.500)
Nd (0.500, 0.500, 0.500)
Pm (0.668, 0.332, 0.000)
Te (0.086, 0.430, 0.256)
Te (0.570, 0.914, 0.744)
Nd (0.159, 0.841, 0.500)
Te (0.263, 0.263, 0.753)
Te (0.737, 0.737, 0.247)
Te (0.430, 0.086, 0.256)

Looking at density for the records above, in order, we have 4.51, 4.85, 1.74, 3.50, 7.97, 7.23 g/cm3.